(1)
## Pm3Sm6In (PBE)

Data for crystalline Pm3Sm6In at its relaxed geometry.

Calculated values
**Energy**: -90.77 eV per cell
**ΔH_f (0 K)**: -8 meV per atom

Geometry as POSCAR:
```
Pm3Sm6In
1.0
12.4446 0.0000 0.0000
0.0000 3.6251 0.0000
-1.0580 0.0000 14.8321
Pm Sm In
6 12 2
Cartesian
0.3462 0.9063 4.5080 Pm
1.1845 0.9063 1.2254 Pm
4.4508 0.9063 12.1375 Pm
6.9357 2.7188 2.6947 Pm
10.2021 2.7188 13.6068 Pm
11.0403 2.7188 10.3241 Pm
0.8612 2.7188 7.4781 Sm
1.4250 2.7188 13.1821 Sm
1.8777 0.9063 10.1306 Sm
3.5419 2.7188 3.7800 Sm
4.6700 0.9063 0.6613 Sm
4.8495 2.7188 8.9931 Sm
6.5370 0.9063 5.8390 Sm
6.7165 2.7188 14.1709 Sm
7.8447 0.9063 11.0521 Sm
9.5088 2.7188 4.7015 Sm
9.9615 0.9063 1.6500 Sm
10.5253 0.9063 7.3540 Sm
3.3712 0.9063 6.5945 In
8.0154 2.7188 8.2376 In
```

---

(2)
## KPt2Se (PBE)

Data for crystalline KPt2Se at its relaxed geometry.

Calculated values
**Raw formation energy**: 0.172 eV/atom
**Energy**: -15.98 eV per cell

Geometry as POSCAR:
```
KPt2Se
1.0
2.7884 0.0000 0.0000
0.0000 5.1267 0.0000
0.0000 0.0000 5.4446
K Pt Se
1 2 1
Cartesian
0.0000 0.0000 0.0000 K
0.0000 2.5634 2.7223 Pt
1.3942 0.0000 2.7223 Pt
1.3942 2.5634 0.0000 Se
```

---

(3)
## SrPuRhN3 (PBE)

Data for crystalline SrPuRhN3 at its relaxed geometry.

Calculated values
**Raw formation energy**: -0.540 eV/atom
**Energy**: -103.16 eV per cell

Geometry as POSCAR:
```
SrPuRhN3
1.0
7.1879 0.0000 0.0000
0.0000 3.4824 0.0000
-1.0140 0.0000 8.0585
Sr Pu Rh N
2 2 2 6
Cartesian
0.9639 0.8706 1.5085 Sr
5.2100 2.6118 6.5501 Sr
1.7027 2.6118 6.8239 Pu
4.4712 0.8706 1.2346 Pu
0.2232 0.8706 4.7987 Rh
5.9507 2.6118 3.2598 Rh
0.2084 0.8706 6.9114 N
1.0649 2.6118 4.6098 N
2.9581 2.6118 0.9750 N
3.2158 0.8706 7.0836 N
5.1090 0.8706 3.4488 N
5.9655 2.6118 1.1472 N
```

---

(4)
## Cu3Ni2H2 (PBE)

Data for crystalline Cu3Ni2H2 at its relaxed geometry.

Calculated values
**Energy**: -119.15 eV per cell

Geometry as POSCAR:
```
Cu3Ni2H2
1.0
7.1089 0.0000 0.0000
0.0000 3.9978 0.0000
0.0000 0.0000 9.1780
Cu Ni H
12 8 8
Cartesian
0.7005 0.0058 0.9815 Cu
0.7005 0.0058 3.6075 Cu
0.7005 1.9931 5.5705 Cu
0.7005 1.9931 8.1965 Cu
2.7299 0.0191 2.2945 Cu
2.7299 1.9799 6.8835 Cu
4.3789 2.0180 2.2945 Cu
4.3789 3.9788 6.8835 Cu
6.4084 2.0047 0.9815 Cu
6.4084 2.0047 3.6075 Cu
6.4084 3.9920 5.5705 Cu
6.4084 3.9920 8.1965 Cu
2.3961 2.0177 0.8334 Ni
2.3961 2.0177 3.7556 Ni
2.3961 3.9791 5.4224 Ni
2.3961 3.9791 8.3446 Ni
4.7128 0.0188 0.8334 Ni
4.7128 0.0188 3.7556 Ni
4.7128 1.9802 5.4224 Ni
4.7128 1.9802 8.3446 Ni
1.7257 0.4725 6.8835 H
1.7257 1.5264 2.2945 H
3.5412 0.9995 0.0000 H
3.5412 0.9995 4.5890 H
3.5676 2.9984 0.0000 H
3.5676 2.9984 4.5890 H
5.3831 2.4714 6.8835 H
5.3831 3.5253 2.2945 H
```

---

(5)
## LiPtAu4 (PBE)

Data for crystalline LiPtAu4 at its relaxed geometry.

Calculated values
**Energy**: -20.98 eV per cell
**ΔH_f (0 K)**: 15 meV per atom

Geometry as POSCAR:
```
LiPtAu4
1.0
0.0000 3.8441 3.8441
3.8441 0.0000 3.8441
3.8441 3.8441 0.0000
Li Pt Au
1 1 4
Cartesian
0.0000 0.0000 0.0000 Li
5.7662 5.7662 5.7662 Pt
2.8828 2.8828 2.8828 Au
4.8055 4.8055 2.8828 Au
4.8055 2.8828 4.8055 Au
2.8828 4.8055 4.8055 Au
```

---

(6)
## Pm5CoSe4 (PBE)

Data for crystalline Pm5CoSe4 at its relaxed geometry.

Calculated values
**Raw formation energy**: -1.460 eV/atom
**Energy**: -59.39 eV per cell

Geometry as POSCAR:
```
Pm5CoSe4
1.0
-4.6604 4.6604 2.9839
4.6604 -4.6604 2.9839
4.6604 4.6604 -2.9839
Pm Co Se
5 1 4
Cartesian
0.0000 0.0000 0.0000 Pm
3.7836 2.0800 0.0000 Pm
2.5805 -0.8769 2.9839 Pm
2.0800 5.5373 0.0000 Pm
0.8769 2.5805 2.9839 Pm
0.0000 0.0000 2.9839 Co
6.4727 0.8578 0.0000 Se
0.8578 2.8481 0.0000 Se
3.8027 1.8123 2.9839 Se
-1.8123 3.8027 2.9839 Se
```

---

(7)
## RbSn2Bi (PBE)

Data for crystalline RbSn2Bi at its relaxed geometry.

Calculated values
**Energy**: -25.69 eV per cell
**ΔH_f (0 K)**: 2 meV per atom

Geometry as POSCAR:
```
RbSn2Bi
1.0
-4.6201 4.6201 3.5571
4.6201 -4.6201 3.5571
4.6201 4.6201 -3.5571
Rb Sn Bi
2 4 2
Cartesian
0.0000 0.0000 0.0000 Rb
0.0000 4.6201 1.7785 Rb
2.3100 2.7805 -0.8893 Sn
6.4596 2.3100 0.8893 Sn
2.3100 1.8395 2.6678 Sn
-1.8395 2.3100 4.4464 Sn
4.6201 0.0000 1.7785 Bi
0.0000 0.0000 3.5571 Bi
```

---

(8)
## Y2ScAlO (PBE)

Data for crystalline Y2ScAlO at its relaxed geometry.

Calculated values
**Raw formation energy**: -1.393 eV/atom
**Energy**: -34.92 eV per cell

Geometry as POSCAR:
```
Y2ScAlO
1.0
4.7724 0.0000 0.0000
0.0000 4.7724 0.0000
0.0000 0.0000 4.3763
Y Sc Al O
2 1 1 1
Cartesian
0.0000 2.3862 0.0000 Y
2.3862 0.0000 0.0000 Y
0.0000 0.0000 2.1881 Sc
2.3862 2.3862 2.1881 Al
0.0000 0.0000 0.0000 O
```

---

Which of these has the highest energy?
KPt2Se